VASP calculation (PBE-GGA) on RbTe2IBr after structural relaxation.

DFT total energy	-2.163	eV/atom
formation energy (no corrections)	-69	meV/atom

Lattice parameters (Å, degrees): 5.576 5.576 8.115 90.00 90.00 90.00
Positions (direct):
Rb 0.000 0.000 0.000
Te 0.000 0.500 0.500
Te 0.500 0.000 0.500
I 0.500 0.500 0.000
Br 0.500 0.500 0.500

=====

VASP calculation (PBE-GGA) on RbTeIBr2 after structural relaxation.

DFT total energy	-2.511	eV/atom
formation energy (no corrections)	-710	meV/atom

Lattice parameters (Å, degrees): 5.942 5.942 6.016 90.00 90.00 90.00
Positions (direct):
Rb 0.000 0.000 0.000
Te 0.500 0.500 0.500
I 0.500 0.500 0.000
Br 0.000 0.500 0.500
Br 0.500 0.000 0.500